1.
## TlPOs2 (GGA-PBE)

Data for a geometry-optimized TlPOs2 structure.

```
data_TlPOs2
_cell_length_a 5.7149
_cell_length_b 5.7149
_cell_length_c 5.7149
_cell_angle_alpha 103.55
_cell_angle_beta 103.55
_cell_angle_gamma 122.10
_space_group_name_H-M_alt 'P 1'
_space_group_IT_number 1
loop_
_space_group_symop_operation_xyz
'x,y,z'
loop_
_atom_site_label
_atom_site_fract_x
_atom_site_fract_y
_atom_site_fract_z
Tl1 0.0000 0.0000 0.0000
Tl2 0.7500 0.2500 0.5000
P1 0.2500 0.7500 0.5000
P2 0.5000 0.5000 0.0000
Os1 0.2025 0.6250 0.0775
Os2 0.3750 0.4525 0.5775
Os3 0.5475 0.1250 0.9225
Os4 0.8750 0.7975 0.4225
```

Space group: I-42d
Energy relative to the elements in eV per atom: 0.631
Total moment in μB per formula unit: 0.0
Mass density in g/cm³: 14.78
Excess energy over the best structure of this formula in the dataset in eV per atom: 0.238

2.
## Sm6HC2S3 (GGA-PBE)

Data for a geometry-optimized Sm6HC2S3 structure.

```
data_Sm6HC2S3
_cell_length_a 8.6616
_cell_length_b 8.6616
_cell_length_c 7.8536
_cell_angle_alpha 104.26
_cell_angle_beta 104.26
_cell_angle_gamma 25.62
_space_group_name_H-M_alt 'P 1'
_space_group_IT_number 1
loop_
_space_group_symop_operation_xyz
'x,y,z'
loop_
_atom_site_label
_atom_site_fract_x
_atom_site_fract_y
_atom_site_fract_z
Sm1 0.0115 0.0115 0.2581
Sm2 0.3255 0.3255 0.4346
Sm3 0.3337 0.3337 0.8889
Sm4 0.6663 0.6663 0.1111
Sm5 0.6745 0.6745 0.5654
Sm6 0.9885 0.9885 0.7419
H1 0.5000 0.5000 0.0000
C1 0.1639 0.1639 0.3291
C2 0.8361 0.8361 0.6709
S1 0.1644 0.1644 0.8343
S2 0.5000 0.5000 0.5000
S3 0.8356 0.8356 0.1657
```

Space group: C2/m
Uncorrected energy in eV/f.u.: -76.79
Total moment in μB per formula unit: 0.0
Mass density in g/cm³: 6.89

3.
## PrZnRu (GGA-PBE)

Data for a geometry-optimized PrZnRu structure.

```
data_PrZnRu
_cell_length_a 7.1695
_cell_length_b 4.1672
_cell_length_c 8.1843
_cell_angle_alpha 90.00
_cell_angle_beta 90.00
_cell_angle_gamma 90.00
_space_group_name_H-M_alt 'P 1'
_space_group_IT_number 1
loop_
_space_group_symop_operation_xyz
'x,y,z'
loop_
_atom_site_label
_atom_site_fract_x
_atom_site_fract_y
_atom_site_fract_z
Pr1 0.0233 0.2500 0.1863
Pr2 0.4767 0.7500 0.6863
Pr3 0.5233 0.2500 0.3137
Pr4 0.9767 0.7500 0.8137
Zn1 0.1471 0.2500 0.5638
Zn2 0.3529 0.7500 0.0638
Zn3 0.6471 0.2500 0.9362
Zn4 0.8529 0.7500 0.4362
Ru1 0.2276 0.7500 0.3777
Ru2 0.2724 0.2500 0.8777
Ru3 0.7276 0.7500 0.1223
Ru4 0.7724 0.2500 0.6223
```

Space group: Pnma
Energy relative to the elements in eV per atom: -0.217
Total moment in μB per formula unit: 0.0
Mass density in g/cm³: 8.35

Q: mass density of number 2 (Sm6HC2S3)?
A: 6.89 g/cm³

Q: total moment of number 2 (Sm6HC2S3)?
A: 0.0 μB per formula unit

Q: Look up the total moment of the first one.
A: 0.0 μB per formula unit